Compound: LiTmLuAg
Source: Alexandria via LeMat-Bulk
Functional: GGA-PBE
Structure: optimized geometry

CIF file:
```
data_LiTmLuAg
_space_group_name_H-M_alt 'F -4 3 m'
_space_group_IT_number 216
_space_group_name_Hall 'F -4 2 3'
_cell_length_a 7.165
_cell_length_b 7.165
_cell_length_c 7.165
_cell_angle_alpha 90.00
_cell_angle_beta 90.00
_cell_angle_gamma 90.00
loop_
_atom_site_label
_atom_site_type_symbol
_atom_site_fract_x
_atom_site_fract_y
_atom_site_fract_z
Li1 Li 0.000 0.000 0.000
Tm1 Tm 0.250 0.250 0.750
Lu1 Lu 0.250 0.250 0.250
Ag1 Ag 0.000 0.000 0.500
```

The energy of formation from the pure elements is -0.107 eV/atom.